Here is a relaxed Ba4HRh crystal from Alexandria via LeMat-Bulk. Energies are from PBE.

a b c (Å): 7.329 4.485 7.528
angles (deg): 90.00 90.54 90.00
Fractional positions:
Ba  0.227  0.000  0.336
Ba  0.230  0.500  0.829
Ba  0.770  0.500  0.171
Ba  0.773  0.000  0.664
H  0.000  0.500  0.500
Rh  0.000  0.000  0.000

Output
- Spin magnetization: 0.00 μB per formula unit
- SG: P2/m (10)
- Energy relative to the lowest polymorph listed for this composition: 2 meV/atom

---

Here is a relaxed InCoW2 crystal from Alexandria via LeMat-Bulk. Energies are from PBE.

a b c (Å): 2.781 4.231 5.441
angles (deg): 90.00 97.25 90.00
Fractional positions:
In  0.000  0.000  0.000
Co  0.000  0.000  0.500
W  0.451  0.500  0.727
W  0.549  0.500  0.273

Output
- Spin magnetization: 1.07 μB per formula unit
- SG: P2/m (10)
- Formation energy from the elements: 444 meV per atom

---

Here is a relaxed TmTlHg6 crystal from Alexandria via LeMat-Bulk. Energies are from PBE.

a b c (Å): 6.186 6.186 6.186
angles (deg): 83.14 83.14 83.14
Fractional positions:
Tm  0.000  0.000  0.000
Tl  0.500  0.500  0.500
Hg  0.153  0.153  0.526
Hg  0.153  0.526  0.153
Hg  0.474  0.847  0.847
Hg  0.526  0.153  0.153
Hg  0.847  0.474  0.847
Hg  0.847  0.847  0.474

Output
- Spin magnetization: 0.00 μB per formula unit
- SG: R-3m (166)
- Formation energy from the elements: -32 meV per atom
- Energy relative to the lowest polymorph listed for this composition: 98 meV/atom

---

| no. | volume (Å³ per atom) |
| --- | --- |
| 1 | 41.243 |
| 2 | 15.877 |
| 3 | 29.004 |